No. 1
First-principles (PBE+U) data for a relaxed MnTl2GaO6 crystal, as listed in the Alexandria database.

Cell and atoms, written as POSCAR:
```
MnTl2GaO6
1.0
5.476 -0.109 0.095
2.642 4.700 -0.055
2.781 1.436 4.707
Ga Tl O Mn
1 2 6 1
Cartesian
2.697 1.520 0.287
2.755 1.430 4.139
5.414 3.046 1.802
6.486 4.252 3.609
6.085 1.402 3.720
4.257 4.903 1.305
7.585 3.082 1.359
4.369 1.225 1.232
3.962 3.204 3.698
8.180 4.537 2.642
```

## Properties
- SG: No. 1
- Theoretical density: 8.6 g/cm³
- Size of the total moment: 4.00 μB/f.u.
- Total DFT energy (no corrections): -5.631 eV per atom


No. 2
First-principles (PBE+U) data for a relaxed TiWN2O crystal, as listed in the Alexandria database.

Cell and atoms, written as POSCAR:
```
TiWN2O
1.0
-2.432 0.974 -2.998
2.277 -2.076 -2.521
-2.119 -3.163 0.691
W O N Ti
1 1 2 1
Cartesian
0.000 0.000 0.000
-1.059 -1.582 0.346
1.138 -1.038 -1.261
-1.216 0.487 -1.499
-1.137 -2.133 -2.414
```

## Properties
- SG: No. 123
- Theoretical density: 7.5 g/cm³
- Size of the total moment: 1.80 μB/f.u.
- Total DFT energy (no corrections): -7.688 eV per atom


- Among the records above, which one has the lowest size of the total moment?
  TiWN2O


- Look up the size of the total moment of the first one.
  4.00 μB/f.u.